[1]
# La2BiSb, optimized geometry, DFT PBE
# * energy above the most stable polymorph in this dataset: 0.942 eV per formula unit
# * energy relative to the elements, uncorrected: -359 kJ/mol of formula units
data_La2BiSb
_cell_length_a 3.930
_cell_length_b 3.930
_cell_length_c 8.282
_cell_angle_alpha 90.00
_cell_angle_beta 90.00
_cell_angle_gamma 90.00
_space_group_name_H-M_alt 'P 4/m m m'
_space_group_IT_number 123
_space_group_name_Hall '-P 4 2'
loop_
_atom_site_label
_atom_site_fract_x
_atom_site_fract_y
_atom_site_fract_z
La1 0.000 0.000 0.234
Bi1 0.500 0.500 0.500
Sb1 0.500 0.500 0.000

=====

[2]
# LaBi3Sb, optimized geometry, DFT PBE
# * energy above the most stable polymorph in this dataset: 2.306 eV per formula unit
# * energy relative to the elements, uncorrected: 336 kJ/mol of formula units
data_LaBi3Sb
_cell_length_a 6.109
_cell_length_b 6.109
_cell_length_c 6.109
_cell_angle_alpha 90.00
_cell_angle_beta 90.00
_cell_angle_gamma 90.00
_space_group_name_H-M_alt 'P m -3 m'
_space_group_IT_number 221
_space_group_name_Hall '-P 4 2 3'
loop_
_atom_site_label
_atom_site_fract_x
_atom_site_fract_y
_atom_site_fract_z
La1 0.000 0.000 0.000
Bi1 0.000 0.000 0.500
Sb1 0.500 0.500 0.500

=====

[3]
# LaBiSb, optimized geometry, DFT PBE
# * energy above the most stable polymorph in this dataset: 0.072 eV per formula unit
# * energy relative to the elements, uncorrected: -229 kJ/mol of formula units
data_LaBiSb
_cell_length_a 4.613
_cell_length_b 17.595
_cell_length_c 4.601
_cell_angle_alpha 90.00
_cell_angle_beta 90.00
_cell_angle_gamma 90.00
_space_group_name_H-M_alt 'C m c m'
_space_group_IT_number 63
_space_group_name_Hall '-C 2c 2'
loop_
_atom_site_label
_atom_site_fract_x
_atom_site_fract_y
_atom_site_fract_z
La1 0.000 0.108 0.250
Bi1 0.000 0.431 0.250
Sb1 0.000 0.250 0.750

=====

[4]
# LaBi2Sb, optimized geometry, DFT PBE
# * energy relative to the elements, uncorrected: 69 kJ/mol of formula units
data_LaBi2Sb
_cell_length_a 4.0739
_cell_length_b 4.0739
_cell_length_c 31.5058
_cell_angle_alpha 90.00
_cell_angle_beta 90.00
_cell_angle_gamma 120.00
_space_group_name_H-M_alt 'R -3 m'
_space_group_IT_number 166
_space_group_name_Hall '-R 3 2"'
loop_
_atom_site_label
_atom_site_fract_x
_atom_site_fract_y
_atom_site_fract_z
La1 0.0000 0.0000 0.0000
Bi1 0.0000 0.0000 0.1032
Sb1 0.0000 0.0000 0.5000

=====

[5]
# LaBiSb, optimized geometry, DFT PBE
# * energy above the most stable polymorph in this dataset: 0.000 eV per formula unit
# * energy relative to the elements, uncorrected: -236 kJ/mol of formula units
data_LaBiSb
_cell_length_a 4.622
_cell_length_b 17.608
_cell_length_c 4.590
_cell_angle_alpha 90.00
_cell_angle_beta 90.00
_cell_angle_gamma 90.00
_space_group_name_H-M_alt 'C m c m'
_space_group_IT_number 63
_space_group_name_Hall '-C 2c 2'
loop_
_atom_site_label
_atom_site_fract_x
_atom_site_fract_y
_atom_site_fract_z
La1 0.000 0.100 0.250
Bi1 0.000 0.250 0.750
Sb1 0.000 0.435 0.250

=====

[6]
# La5BiSb2, optimized geometry, DFT PBE
# * energy relative to the elements, uncorrected: -575 kJ/mol of formula units
data_La5BiSb2
_cell_length_a 7.641
_cell_length_b 11.367
_cell_length_c 6.712
_cell_angle_alpha 90.00
_cell_angle_beta 118.13
_cell_angle_gamma 90.00
_space_group_name_H-M_alt 'C 1 m 1'
_space_group_IT_number 8
loop_
_space_group_symop_operation_xyz
'x,y,z'
'x,-y,z'
'x+1/2,y+1/2,z'
'x+1/2,-y+1/2,z'
loop_
_atom_site_label
_atom_site_fract_x
_atom_site_fract_y
_atom_site_fract_z
La1 0.000 0.000 0.000
La2 0.042 0.500 0.004
La3 0.094 0.000 0.588
La4 0.296 0.254 0.453
Bi1 0.043 0.500 0.497
Sb1 0.253 0.231 0.933

=====

[7]
# La2BiSb, optimized geometry, DFT PBE
# * energy above the most stable polymorph in this dataset: 0.469 eV per formula unit
# * energy relative to the elements, uncorrected: -405 kJ/mol of formula units
data_La2BiSb
_cell_length_a 4.379
_cell_length_b 4.985
_cell_length_c 6.599
_cell_angle_alpha 90.00
_cell_angle_beta 109.51
_cell_angle_gamma 90.00
_space_group_name_H-M_alt 'P 1 m 1'
_space_group_IT_number 6
loop_
_space_group_symop_operation_xyz
'x,y,z'
'x,-y,z'
loop_
_atom_site_label
_atom_site_fract_x
_atom_site_fract_y
_atom_site_fract_z
La1 0.000 0.000 0.000
La2 0.244 0.500 0.492
Bi1 0.509 0.500 0.019
Sb1 0.737 0.000 0.479

=====

[8]
# La2Bi4Sb, optimized geometry, DFT PBE
# * energy relative to the elements, uncorrected: -392 kJ/mol of formula units
data_La2Bi4Sb
_cell_length_a 6.963
_cell_length_b 6.963
_cell_length_c 9.732
_cell_angle_alpha 90.00
_cell_angle_beta 90.00
_cell_angle_gamma 90.00
_space_group_name_H-M_alt 'I 4/m m m'
_space_group_IT_number 139
_space_group_name_Hall '-I 4 2'
loop_
_atom_site_label
_atom_site_fract_x
_atom_site_fract_y
_atom_site_fract_z
La1 0.000 0.500 0.000
Bi1 0.250 0.250 0.250
Sb1 0.000 0.000 0.000

=====

[9]
# LaBi2Sb, optimized geometry, DFT PBE
# * energy relative to the elements, uncorrected: -222 kJ/mol of formula units
data_LaBi2Sb
_cell_length_a 4.858
_cell_length_b 4.858
_cell_length_c 5.193
_cell_angle_alpha 90.00
_cell_angle_beta 90.00
_cell_angle_gamma 90.00
_space_group_name_H-M_alt 'P 4/m m m'
_space_group_IT_number 123
_space_group_name_Hall '-P 4 2'
loop_
_atom_site_label
_atom_site_fract_x
_atom_site_fract_y
_atom_site_fract_z
La1 0.000 0.000 0.000
Bi1 0.000 0.500 0.500
Sb1 0.500 0.500 0.000

=====

[10]
# La2Bi2Sb, optimized geometry, DFT PBE
# * energy above the most stable polymorph in this dataset: 0.000 eV per formula unit
# * energy relative to the elements, uncorrected: -352 kJ/mol of formula units
data_La2Bi2Sb
_cell_length_a 8.616
_cell_length_b 8.616
_cell_length_c 4.572
_cell_angle_alpha 90.00
_cell_angle_beta 90.00
_cell_angle_gamma 90.00
_space_group_name_H-M_alt 'P 4/m b m'
_space_group_IT_number 127
_space_group_name_Hall '-P 4 2ab'
loop_
_atom_site_label
_atom_site_fract_x
_atom_site_fract_y
_atom_site_fract_z
La1 0.159 0.341 0.000
Bi1 0.150 0.650 0.500
Sb1 0.000 0.000 0.000

=====

[11]
# La6Bi2SbSe3, optimized geometry, DFT PBE
# * energy relative to the elements, uncorrected: -1798 kJ/mol of formula units
data_La6Bi2SbSe3
_cell_length_a 19.604
_cell_length_b 4.511
_cell_length_c 8.978
_cell_angle_alpha 90.00
_cell_angle_beta 103.02
_cell_angle_gamma 90.00
_space_group_name_H-M_alt 'C 1 2/m 1'
_space_group_IT_number 12
loop_
_space_group_symop_operation_xyz
'x,y,z'
'-x,-y,-z'
'-x,y,-z'
'x,-y,z'
'x+1/2,y+1/2,z'
'-x+1/2,-y+1/2,-z'
'-x+1/2,y+1/2,-z'
'x+1/2,-y+1/2,z'
loop_
_atom_site_label
_atom_site_fract_x
_atom_site_fract_y
_atom_site_fract_z
La1 0.004 0.000 0.246
La2 0.162 0.500 0.094
La3 0.169 0.500 0.573
Bi1 0.167 0.000 0.834
Sb1 0.000 0.500 0.500
Se1 0.000 0.500 0.000
Se2 0.167 0.000 0.334

=====

[12]
# La6Bi3Sb2Se, optimized geometry, DFT PBE
# * energy relative to the elements, uncorrected: -1489 kJ/mol of formula units
data_La6Bi3Sb2Se
_cell_length_a 20.113
_cell_length_b 4.621
_cell_length_c 9.239
_cell_angle_alpha 90.00
_cell_angle_beta 103.25
_cell_angle_gamma 90.00
_space_group_name_H-M_alt 'C 1 2/m 1'
_space_group_IT_number 12
loop_
_space_group_symop_operation_xyz
'x,y,z'
'-x,-y,-z'
'-x,y,-z'
'x,-y,z'
'x+1/2,y+1/2,z'
'-x+1/2,-y+1/2,-z'
'-x+1/2,y+1/2,-z'
'x+1/2,-y+1/2,z'
loop_
_atom_site_label
_atom_site_fract_x
_atom_site_fract_y
_atom_site_fract_z
La1 0.000 0.000 0.242
La2 0.163 0.500 0.085
La3 0.168 0.500 0.580
Bi1 0.000 0.500 0.500
Bi2 0.167 0.000 0.835
Sb1 0.165 0.000 0.331
Se1 0.000 0.500 0.000

=====

[13]
# La6BiSb2Se3, optimized geometry, DFT PBE
# * energy relative to the elements, uncorrected: -1850 kJ/mol of formula units
data_La6BiSb2Se3
_cell_length_a 19.541
_cell_length_b 4.500
_cell_length_c 8.948
_cell_angle_alpha 90.00
_cell_angle_beta 102.94
_cell_angle_gamma 90.00
_space_group_name_H-M_alt 'C 1 2/m 1'
_space_group_IT_number 12
loop_
_space_group_symop_operation_xyz
'x,y,z'
'-x,-y,-z'
'-x,y,-z'
'x,-y,z'
'x+1/2,y+1/2,z'
'-x+1/2,-y+1/2,-z'
'-x+1/2,y+1/2,-z'
'x+1/2,-y+1/2,z'
loop_
_atom_site_label
_atom_site_fract_x
_atom_site_fract_y
_atom_site_fract_z
La1 0.002 0.000 0.239
La2 0.165 0.500 0.088
La3 0.171 0.500 0.579
Bi1 0.000 0.500 0.500
Sb1 0.167 0.000 0.833
Se1 0.000 0.500 0.000
Se2 0.166 0.000 0.333

=====

Number 1: Fermi-level density of states 2.48 states/eV per cell. Number 2: Fermi-level density of states 7.53 states/eV per cell. Number 3: Fermi-level density of states 4.07 states/eV per cell. Number 4: Fermi-level density of states 12.29 states/eV per cell. Number 5: Fermi-level density of states 6.72 states/eV per cell. Number 6: Fermi-level density of states 15.97 states/eV per cell. Number 7: Fermi-level density of states 0.69 states/eV per cell. Number 8: Fermi-level density of states 10.70 states/eV per cell. Number 9: Fermi-level density of states 2.79 states/eV per cell. Number 10: Fermi-level density of states 5.73 states/eV per cell. Number 11: Fermi-level density of states 12.47 states/eV per cell. Number 12: Fermi-level density of states 5.51 states/eV per cell. Number 13: Fermi-level density of states 12.01 states/eV per cell.